(1)
Below is a relaxed ErPF crystal, with properties calculated at the GGA-PBE level.

The structure in POSCAR format:
```
ErPF
1.0
-2.1566 -0.7220 -2.2555
-0.6647 -2.7434 1.5138
-2.0707 4.0107 2.9704
P Er F
1 1 1
direct
0.0081 0.0081 0.0162
0.7030 0.7030 0.4061
0.2889 0.2889 0.5778
```

Computed properties:
The space-group type is I4mm (107). The energy relative to the elements, uncorrected comes out at -1770 meV/atom. As for the density: 7.17 g/cm³. The magnetization is 0.0 Bohr magnetons per cell. The total energy is -17.16 eV per formula unit.


(2)
Below is a relaxed ErPaF6 crystal, with properties calculated at the GGA-PBE level.

The structure in POSCAR format:
```
ErPaF6
1.0
5.1260 0.0220 0.0090
-1.8866 4.7662 0.0090
-0.5843 -0.8636 5.6905
Er Pa F
1 1 6
direct
0.0000 0.0000 0.0000
0.5000 0.5000 0.5000
0.2760 0.2760 0.7929
0.3693 0.0549 0.2559
0.7240 0.7240 0.2071
0.9451 0.6307 0.7441
0.6307 0.9451 0.7441
0.0549 0.3693 0.2559
```

Computed properties:
The space-group type is C2/m (12). The energy relative to the elements, uncorrected comes out at -3658 meV/atom. As for the density: 6.10 g/cm³. The magnetization is 1.9 Bohr magnetons per cell. The total energy is -54.55 eV per formula unit.


(3)
Below is a relaxed ErPaF crystal, with properties calculated at the GGA-PBE level.

The structure in POSCAR format:
```
ErPaF
1.0
-0.6682 -2.6241 -1.6410
2.9330 -3.6701 4.6747
-4.1172 -0.6658 5.7960
Er F Pa
2 2 2
direct
0.3293 0.7626 0.6586
0.6707 0.2374 0.3414
0.9088 0.4868 0.8176
0.0912 0.5132 0.1824
0.4091 0.1635 0.8182
0.5909 0.8365 0.1818
```

Computed properties:
The space-group type is C2/m (12). The energy relative to the elements, uncorrected comes out at -1105 meV/atom. As for the density: 10.25 g/cm³. The magnetization is 0.0 Bohr magnetons per cell. The total energy is -19.24 eV per formula unit.